Sc2Ga2Te | Alexandria via LeMat-Bulk | PBE-GGA | relaxed; spin magnetization = 0.80 μB/cell; E_form (uncorrected) = -0.56 eV/atom; relative energy among the computed polymorphs = 0.000 eV per atom; SG = I4/mmm; energy = -4.93 eV per atom; D(E_F) = 4.5 states/eV/cell
1.0
3.7463 0.0000 0.0000
0.0000 3.7463 0.0000
1.8731 1.8731 7.8150
Sc Ga Te
2 2 1
Direct
0.6060 0.6060 0.7880 Sc
0.3940 0.3940 0.2120 Sc
0.7500 0.2500 0.5000 Ga
0.2500 0.7500 0.5000 Ga
0.0000 0.0000 0.0000 Te

Sc2GaTe4 | Alexandria via LeMat-Bulk | PBE-GGA | relaxed; spin magnetization = 0.00 μB/cell; E_form (uncorrected) = -0.71 eV/atom; SG = I-42m; energy = -4.74 eV per atom; D(E_F) = 4.3 states/eV/cell
1.0
-3.2515 -4.1654 3.4414
-0.0226 -4.0060 -4.8701
7.1719 1.5007 2.8150
Te Ga Sc
4 1 2
Direct
0.3555 0.8785 0.2340 Te
0.6445 0.6445 0.7660 Te
0.8785 0.3555 0.2340 Te
0.1215 0.1215 0.7660 Te
0.5000 0.5000 0.0000 Ga
0.2500 0.7500 0.5000 Sc
0.7500 0.2500 0.5000 Sc

Sc6GaTe2 | Alexandria via LeMat-Bulk | PBE-GGA | relaxed; spin magnetization = 0.00 μB/cell; E_form (uncorrected) = -0.28 eV/atom; SG = P4_2/mnm; energy = -5.53 eV per atom; D(E_F) = 29.0 states/eV/cell
1.0
-4.3240 -1.4293 4.5359
4.6184 0.2008 4.4659
-2.1901 12.0884 1.7212
Sc Te Ga
12 4 2
Direct
0.8059 0.1941 0.8417 Sc
0.7150 0.7150 0.0000 Sc
0.8059 0.1941 0.1583 Sc
0.6941 0.6941 0.3417 Sc
0.3059 0.3059 0.3417 Sc
0.2850 0.2850 0.0000 Sc
0.6941 0.6941 0.6583 Sc
0.3059 0.3059 0.6583 Sc
0.1941 0.8059 0.8417 Sc
0.2150 0.7850 0.5000 Sc
0.1941 0.8059 0.1583 Sc
0.7850 0.2150 0.5000 Sc
0.5000 0.5000 0.8353 Te
0.0000 0.0000 0.6647 Te
0.0000 0.0000 0.3353 Te
0.5000 0.5000 0.1647 Te
0.5000 0.5000 0.5000 Ga
0.0000 0.0000 0.0000 Ga

Sc6GaTe5 | Alexandria via LeMat-Bulk | PBE-GGA | relaxed; spin magnetization = 0.00 μB/cell; E_form (uncorrected) = -1.06 eV/atom; SG = C2/m; energy = -5.79 eV per atom; D(E_F) = 7.2 states/eV/cell
1.0
7.0796 0.1841 1.0817
1.7232 6.0155 3.5042
0.1117 0.0727 7.1593
Te Sc Ga
5 6 1
Direct
0.5000 0.8244 0.3512 Te
0.0000 0.6642 0.6715 Te
0.0000 0.3358 0.3285 Te
0.5000 0.1756 0.6488 Te
0.5000 0.5000 0.0000 Te
0.7695 0.0753 0.3069 Sc
0.2387 0.2237 0.0000 Sc
0.7613 0.7763 0.0000 Sc
0.7695 0.3822 0.6931 Sc
0.2305 0.6178 0.3069 Sc
0.2305 0.9247 0.6931 Sc
0.0000 0.0000 0.0000 Ga

ScGa3Te | Alexandria via LeMat-Bulk | PBE-GGA | relaxed; spin magnetization = 0.00 μB/cell; E_form (uncorrected) = 0.69 eV/atom; relative energy among the computed polymorphs = 0.239 eV per atom; SG = Pm-3m; energy = -3.02 eV per atom; D(E_F) = 5.8 states/eV/cell
1.0
-1.2510 1.0153 -5.0855
0.9289 -5.1029 -1.2473
-5.1020 -1.1780 1.0199
Ga Te Sc
3 1 1
Direct
0.0000 0.5000 0.0000 Ga
0.0000 0.0000 0.5000 Ga
0.5000 0.0000 0.0000 Ga
0.0000 0.0000 0.0000 Te
0.5000 0.5000 0.5000 Sc

Sc2Ga2Te | Alexandria via LeMat-Bulk | PBE-GGA | relaxed; spin magnetization = 0.00 μB/cell; E_form (uncorrected) = -0.55 eV/atom; relative energy among the computed polymorphs = 0.011 eV per atom; SG = P4/mbm; energy = -4.92 eV per atom; D(E_F) = 6.6 states/eV/cell
1.0
-5.7049 0.7708 4.7122
3.7606 -3.7985 5.1743
1.6136 3.4826 1.3839
Ga Te Sc
4 2 4
Direct
0.3720 0.1280 0.5000 Ga
0.8720 0.3720 0.5000 Ga
0.6280 0.8720 0.5000 Ga
0.1280 0.6280 0.5000 Ga
0.5000 0.5000 0.0000 Te
0.0000 0.0000 0.0000 Te
0.6654 0.1654 0.0000 Sc
0.3346 0.8346 0.0000 Sc
0.8346 0.6654 0.0000 Sc
0.1654 0.3346 0.0000 Sc

Q: What is the D(E_F) in the fourth record?
A: 7.2 states/eV/cell

Please write out number 6 again, unchanged.
Sc2Ga2Te | Alexandria via LeMat-Bulk | PBE-GGA | relaxed; spin magnetization = 0.00 μB/cell; E_form (uncorrected) = -0.55 eV/atom; relative energy among the computed polymorphs = 0.011 eV per atom; SG = P4/mbm; energy = -4.92 eV per atom; D(E_F) = 6.6 states/eV/cell
1.0
-5.7049 0.7708 4.7122
3.7606 -3.7985 5.1743
1.6136 3.4826 1.3839
Ga Te Sc
4 2 4
Direct
0.3720 0.1280 0.5000 Ga
0.8720 0.3720 0.5000 Ga
0.6280 0.8720 0.5000 Ga
0.1280 0.6280 0.5000 Ga
0.5000 0.5000 0.0000 Te
0.0000 0.0000 0.0000 Te
0.6654 0.1654 0.0000 Sc
0.3346 0.8346 0.0000 Sc
0.8346 0.6654 0.0000 Sc
0.1654 0.3346 0.0000 Sc

Q: Among the records above, which one has the highest E_form (uncorrected)?
A: ScGa3Te